1.
A PBEsol-optimized structure of Mn2AgPtCl, computed with SCAN.

Formation energy without anion corrections ... 0.69 eV per atom
Density of states at the Fermi level ... 2.79 states/eV per cell
Crystal system ... tetragonal
Symmetry ... No. 123

Geometry as POSCAR:
```
Mn2AgPtCl
1.0
4.929 0.000 0.000
0.000 4.929 0.000
0.000 0.000 4.824
Mn Ag Pt Cl
2 1 1 1
direct
0.000 0.500 0.000
0.500 0.000 0.000
0.000 0.000 0.000
0.000 0.000 0.500
0.500 0.500 0.500
```

***

2.
A PBEsol-optimized structure of Zr2FeNO, computed with SCAN.

Formation energy without anion corrections ... -0.21 eV per atom
Density of states at the Fermi level ... 2.28 states/eV per cell
Crystal system ... tetragonal
Symmetry ... No. 123

Geometry as POSCAR:
```
Zr2FeNO
1.0
4.697 0.000 0.000
0.000 4.697 0.000
0.000 0.000 3.357
Zr Fe N O
2 1 1 1
direct
0.000 0.500 0.000
0.500 0.000 0.000
0.000 0.000 0.000
0.000 0.000 0.500
0.500 0.500 0.500
```

***

3.
A PBEsol-optimized structure of CdOs2Rh, computed with SCAN.

Energy relative to the elements ... 58.5 kJ/mol of atoms
Density of states at the Fermi level ... 4.38 states/eV per cell
Crystal system ... monoclinic
Symmetry ... No. 10

Geometry as POSCAR:
```
CdOs2Rh
1.0
2.736 0.000 0.000
0.000 4.722 0.000
-0.295 0.000 4.701
Cd Os Rh
1 2 1
direct
0.000 0.000 0.000
0.296 0.500 0.743
0.704 0.500 0.257
0.500 0.000 0.500
```

***

4.
A PBEsol-optimized structure of SmAl2Ge2, computed with SCAN.

Energy relative to the elements ... -47.6 kJ/mol of atoms
Density of states at the Fermi level ... 1.50 states/eV per cell
Crystal system ... trigonal
Symmetry ... No. 164

Geometry as POSCAR:
```
SmAl2Ge2
1.0
4.245 0.000 0.000
-2.122 3.676 0.000
0.000 0.000 6.671
Sm Al Ge
1 2 2
direct
0.000 0.000 0.000
0.333 0.667 0.644
0.667 0.333 0.356
0.333 0.667 0.261
0.667 0.333 0.739
```

***

5.
A PBEsol-optimized structure of TaMn3Ge, computed with SCAN.

Energy relative to the elements ... 74.0 kJ/mol of atoms
Density of states at the Fermi level ... 3.33 states/eV per cell
Crystal system ... cubic
Symmetry ... No. 221

Geometry as POSCAR:
```
TaMn3Ge
1.0
4.228 0.000 0.000
0.000 4.228 0.000
0.000 0.000 4.228
Ta Mn Ge
1 3 1
direct
0.000 0.000 0.000
0.000 0.500 0.500
0.500 0.000 0.500
0.500 0.500 0.000
0.500 0.500 0.500
```

***

6.
A PBEsol-optimized structure of ZnCr3Te, computed with SCAN.

Formation energy without anion corrections ... 0.92 eV per atom
Density of states at the Fermi level ... 3.43 states/eV per cell
Crystal system ... cubic
Symmetry ... No. 221

Geometry as POSCAR:
```
ZnCr3Te
1.0
5.056 0.000 0.000
0.000 5.056 0.000
0.000 0.000 5.056
Zn Cr Te
1 3 1
direct
0.000 0.000 0.000
0.000 0.500 0.500
0.500 0.000 0.500
0.500 0.500 0.000
0.500 0.500 0.500
```

***

7.
A PBEsol-optimized structure of Nd3Sn7Ru2, computed with SCAN.

Energy relative to the elements ... -58.2 kJ/mol of atoms
Density of states at the Fermi level ... 6.45 states/eV per cell
Crystal system ... orthorhombic
Symmetry ... No. 65

Geometry as POSCAR:
```
Nd3Sn7Ru2
1.0
2.322 -13.763 0.000
2.322 13.763 0.000
0.000 0.000 4.571
Nd Sn Ru
3 7 2
direct
0.000 0.000 0.000
0.318 0.682 0.500
0.682 0.318 0.500
0.086 0.914 0.500
0.220 0.780 0.000
0.413 0.587 0.000
0.500 0.500 0.500
0.587 0.413 0.000
0.780 0.220 0.000
0.914 0.086 0.500
0.128 0.872 0.000
0.872 0.128 0.000
```

***

8.
A PBEsol-optimized structure of Mn3CrPd, computed with SCAN.

Energy relative to the elements ... 67.6 kJ/mol of atoms
Density of states at the Fermi level ... 4.48 states/eV per cell
Crystal system ... cubic
Symmetry ... No. 221

Geometry as POSCAR:
```
Mn3CrPd
1.0
4.198 0.000 0.000
0.000 4.198 0.000
0.000 0.000 4.198
Mn Cr Pd
3 1 1
direct
0.000 0.000 0.500
0.000 0.500 0.000
0.500 0.000 0.000
0.000 0.000 0.000
0.500 0.500 0.500
```